1.
Compound: Tb2Fe5Si4
Source: Alexandria
Functional: PBE-GGA
Structure: optimized geometry

Lattice parameters (Å, degrees): 5.419 5.383 7.027 78.81 67.32 59.78
Each line ends with the local moment (μB).
Element x y z (fractional)
Tb 0.866 0.000 0.268  -0.20
Tb 0.134 0.000 0.732  -0.20
Fe 0.500 0.000 0.000  0.42
Fe 0.000 0.500 0.000  1.66
Fe 0.500 0.500 0.000  1.66
Fe 0.250 0.500 0.500  -0.21
Fe 0.750 0.500 0.500  -0.21
Si 0.488 0.295 0.730  -0.02
Si 0.512 0.705 0.270  -0.02
Si 0.217 0.295 0.270  -0.02
Si 0.783 0.705 0.730  -0.02

D(E_F) (states/eV per cell): 8.08
Magnetic moment (Bohr magnetons per cell): 2.50
Total energy (eV/atom): -7.190
Uncorrected formation energy (meV per atom): -530

2.
Compound: Tb3Fe4Si4
Source: Alexandria
Functional: PBE-GGA
Structure: optimized geometry

Lattice parameters (Å, degrees): 6.167 6.167 6.167 109.47 109.47 109.47
Element x y z (fractional)
Tb 0.500 0.500 0.000
Tb 0.500 0.000 0.500
Tb 0.000 0.500 0.500
Fe 0.000 0.256 0.000
Fe 0.000 0.000 0.256
Fe 0.256 0.000 0.000
Fe 0.744 0.744 0.744
Si 0.000 0.620 0.000
Si 0.620 0.000 0.000
Si 0.000 0.000 0.620
Si 0.380 0.380 0.380

D(E_F) (states/eV per cell): 9.45
Magnetic moment (Bohr magnetons per cell): 0.00
Total energy (eV/atom): -6.909
Uncorrected formation energy (meV per atom): -597

3.
Compound: Tb3Fe2Si7
Source: Alexandria
Functional: PBE-GGA
Structure: optimized geometry

Lattice parameters (Å, degrees): 12.369 12.369 4.108 90.00 90.00 161.18
Element x y z (fractional)
Tb 0.098 0.902 0.500
Tb 0.468 0.532 0.500
Tb 0.783 0.217 0.000
Fe 0.656 0.344 0.000
Fe 0.910 0.090 0.000
Si 0.372 0.628 0.000
Si 0.563 0.437 0.000
Si 0.872 0.128 0.500
Si 0.003 0.997 0.000
Si 0.194 0.806 0.000
Si 0.283 0.717 0.500
Si 0.694 0.306 0.500

D(E_F) (states/eV per cell): 5.80
Magnetic moment (Bohr magnetons per cell): 0.00
Total energy (eV/atom): -6.352
Uncorrected formation energy (meV per atom): -621

4.
Compound: TbFe4Si2
Source: Alexandria
Functional: PBE-GGA
Structure: optimized geometry

Lattice parameters (Å, degrees): 7.102 7.102 3.730 90.00 90.00 90.00
Each line ends with the local moment (μB).
Element x y z (fractional)
Tb 0.000 0.000 0.000  -0.19
Tb 0.500 0.500 0.500  -0.19
Fe 0.584 0.147 0.000  1.06
Fe 0.416 0.853 0.000  1.06
Fe 0.647 0.916 0.500  1.06
Fe 0.084 0.353 0.500  1.06
Fe 0.353 0.084 0.500  1.06
Fe 0.916 0.647 0.500  1.06
Fe 0.147 0.584 0.000  1.06
Fe 0.853 0.416 0.000  1.06
Si 0.280 0.280 0.000  -0.06
Si 0.720 0.720 0.000  -0.06
Si 0.780 0.220 0.500  -0.06
Si 0.220 0.780 0.500  -0.06

D(E_F) (states/eV per cell): 11.14
Magnetic moment (Bohr magnetons per cell): 7.61
Total energy (eV/atom): -7.491
Uncorrected formation energy (meV per atom): -445